{
  "formula": "LiPr2Ge3",
  "functional": "PBE",
  "state": "optimized geometry",
  "magnetic_moment_mub_per_cell": 0.00,
  "space_group": "Fmmm, No. 69",
  "delta_e_f_ev_per_atom": -0.722,
  "vol_a3_per_atom": 22.34,
  "cell": [[0.000, 4.284, 7.382], [4.238, 0.000, 7.382], [4.238, 4.284, 0.000]],
  "species": ["Li", "Li", "Pr", "Pr", "Pr", "Pr", "Ge", "Ge", "Ge", "Ge", "Ge", "Ge"],
  "frac_coords": [[0.166, 0.166, 0.834], [0.834, 0.834, 0.166], [0.250, 0.250, 0.250], [0.260, 0.740, 0.740], [0.740, 0.260, 0.260], [0.750, 0.750, 0.750], [0.156, 0.674, 0.326], [0.326, 0.844, 0.156], [0.330, 0.330, 0.670], [0.670, 0.670, 0.330], [0.674, 0.156, 0.844], [0.844, 0.326, 0.674]]
}